[1]
The following is a DFT calculation (GGA-PBE) of a geometry-optimized Pr7SiS5 structure.

a = 7.0441 Å, b = 7.0441 Å, c = 24.2795 Å
α = 90.02°, β = 90.02°, γ = 34.14°
Last column: nearest neighbours and their distance in Å.
Atoms (fractional coordinates):
Pr (0.0353, 0.0353, 0.2500)  2 S 2.83, 2 Si 2.97
Pr (0.1370, 0.1370, 0.5367)  6 S 2.84-2.91
Pr (0.1370, 0.1370, 0.9634)  6 S 2.84-2.91
Pr (0.3124, 0.3124, 0.3216)  3 S 2.84-2.92, 2 Si 3.14
Pr (0.3126, 0.3126, 0.1783)  3 S 2.84-2.92, 2 Si 3.14
Pr (0.4081, 0.4081, 0.6126)  5 S 2.89-3.00
Pr (0.4080, 0.4080, 0.8874)  5 S 2.89-3.00
Pr (0.5920, 0.5920, 0.1126)  5 S 2.89-3.00
Pr (0.5919, 0.5919, 0.3874)  5 S 2.89-3.00
Pr (0.6874, 0.6874, 0.8217)  3 S 2.84-2.92, 2 Si 3.14
Pr (0.6876, 0.6876, 0.6784)  3 S 2.84-2.92, 2 Si 3.14
Pr (0.8630, 0.8630, 0.0366)  6 S 2.84-2.91
Pr (0.8630, 0.8630, 0.4633)  6 S 2.84-2.91
Pr (0.9647, 0.9647, 0.7500)  2 S 2.83, 2 Si 2.97
Si (0.3059, 0.3059, 0.7502)  6 Pr 2.97-3.14
Si (0.6941, 0.6941, 0.2498)  6 Pr 2.97-3.14
S (0.0482, 0.0482, 0.6428)  6 Pr 2.83-2.92
S (0.0479, 0.0479, 0.8572)  6 Pr 2.83-2.92
S (0.2263, 0.2263, 0.0717)  6 Pr 2.84-2.92
S (0.2261, 0.2261, 0.4284)  6 Pr 2.84-2.92
S (0.5000, 0.5000, 0.0000)  6 Pr 2.91-3.00
S (0.5000, 0.5000, 0.5000)  6 Pr 2.91-3.00
S (0.7739, 0.7739, 0.5716)  6 Pr 2.84-2.92
S (0.7737, 0.7737, 0.9283)  6 Pr 2.84-2.92
S (0.9521, 0.9521, 0.1428)  6 Pr 2.83-2.92
S (0.9518, 0.9518, 0.3572)  6 Pr 2.83-2.92

## Properties
Calculated volume ... 676 Å³/cell
Total magnetic moment ... 0.0 μB per cell
Formation energy (no corrections) ... -21.98 eV per formula unit
Energy ... -6.27 eV/atom

[2]
The following is a DFT calculation (GGA-PBE) of a geometry-optimized Pr2SiS structure.

a = 11.6859 Å, b = 11.6859 Å, c = 4.0160 Å
α = 90.00°, β = 90.00°, γ = 158.81°
Last column: nearest neighbours and their distance in Å.
Atoms (fractional coordinates):
Pr (0.0678, 0.9322, 0.7500)  1 S 2.81, 4 Si 3.04
Pr (0.3135, 0.6865, 0.7500)  5 S 2.83-2.94
Pr (0.6865, 0.3135, 0.2500)  5 S 2.83-2.94
Pr (0.9322, 0.0678, 0.2500)  1 S 2.81, 4 Si 3.04
Si (0.4654, 0.5346, 0.7500)  2 Si 2.56
Si (0.5346, 0.4654, 0.2500)  2 Si 2.56
S (0.1903, 0.8097, 0.7500)  6 Pr 2.81-2.94
S (0.8097, 0.1903, 0.2500)  6 Pr 2.81-2.94

## Properties
Calculated volume ... 198 Å³/cell
Total magnetic moment ... 0.0 μB per cell
Formation energy (no corrections) ... -5.52 eV per formula unit
Energy ... -6.16 eV/atom

[3]
The following is a DFT calculation (GGA-PBE) of a geometry-optimized Pr2SiS5 structure.

a = 7.6208 Å, b = 12.5932 Å, c = 7.8781 Å
α = 90.00°, β = 101.21°, γ = 90.00°
Last column: nearest neighbours and their distance in Å.
Atoms (fractional coordinates):
Pr (0.1612, 0.1639, 0.1290)  7 S 2.90-3.11
Pr (0.1612, 0.3361, 0.6290)  7 S 2.90-3.11
Pr (0.2394, 0.5946, 0.0433)  8 S 2.84-3.11
Pr (0.2394, 0.9054, 0.5433)  8 S 2.84-3.11
Pr (0.7607, 0.0946, 0.4567)  8 S 2.84-3.11
Pr (0.7607, 0.4054, 0.9567)  8 S 2.84-3.11
Pr (0.8388, 0.6639, 0.3710)  7 S 2.90-3.11
Pr (0.8388, 0.8361, 0.8710)  7 S 2.90-3.11
Si (0.3322, 0.6166, 0.5960)  4 S 2.12-2.16
Si (0.3322, 0.8834, 0.0960)  4 S 2.12-2.16
Si (0.6678, 0.1166, 0.9040)  4 S 2.12-2.16
Si (0.6678, 0.3834, 0.4040)  4 S 2.12-2.16
S (0.1287, 0.7029, 0.6953)  1 Si 2.16
S (0.1287, 0.7971, 0.1953)  1 Si 2.16
S (0.1368, 0.1215, 0.4938)  4 Pr 2.84-2.96, 1 S 3.17
S (0.1368, 0.3785, 0.9938)  4 Pr 2.84-2.96, 1 S 3.17
S (0.1749, 0.5295, 0.3872)  1 Si 2.14
S (0.1749, 0.9705, 0.8872)  1 Si 2.14
S (0.4207, 0.0031, 0.2816)  1 Si 2.12
S (0.4207, 0.4969, 0.7816)  1 Si 2.12
S (0.4744, 0.2282, 0.9489)  1 Si 2.12
S (0.4744, 0.2718, 0.4489)  1 Si 2.12
S (0.5256, 0.7282, 0.5511)  1 Si 2.12
S (0.5256, 0.7718, 0.0511)  1 Si 2.12
S (0.5793, 0.5031, 0.2184)  1 Si 2.12
S (0.5793, 0.9969, 0.7184)  1 Si 2.12
S (0.8251, 0.0295, 0.1128)  1 Si 2.14
S (0.8251, 0.4705, 0.6128)  1 Si 2.14
S (0.8632, 0.6215, 0.0062)  4 Pr 2.84-2.96, 1 S 3.17
S (0.8632, 0.8785, 0.5062)  4 Pr 2.84-2.96, 1 S 3.17
S (0.8713, 0.2029, 0.8047)  1 Si 2.16
S (0.8713, 0.2971, 0.3047)  1 Si 2.16

## Properties
Calculated volume ... 742 Å³/cell
Total magnetic moment ... 0.0 μB per cell
Formation energy (no corrections) ... -12.49 eV per formula unit
Energy ... -6.01 eV/atom